[1]
Compound: AgSe
Source: the Alexandria database
Functional: PBE
Structure: relaxed

It has space group Pnnm (No. 58), with a = 6.322 Å, b = 7.127 Å, c = 3.978 Å, α = 90.00°, β = 90.00° and γ = 90.00°. The inequivalent atoms are Ag at (0.000, 0.000, 0.000), Ag at (0.000, 0.500, 0.500) and Se at (0.190, 0.167, 0.500).

As for the calculated density: 6923 kg/m³. Its energy relative to the elements, uncorrected is 0.036 eV/f.u. The value obtained for the calculated volume is 44.8 Å³/f.u.

[2]
Compound: Hf2MgTeBr
Source: the Alexandria database
Functional: PBE
Structure: relaxed

It has space group P4/mmm (No. 123), with a = 5.334 Å, b = 5.334 Å, c = 5.471 Å, α = 90.00°, β = 90.00° and γ = 90.00°. The inequivalent atoms are Hf at (0.000, 0.500, 0.000), Mg at (0.000, 0.000, 0.500), Te at (0.000, 0.000, 0.000) and Br at (0.500, 0.500, 0.500).

As for the calculated density: 6283 kg/m³. Its energy relative to the elements, uncorrected is 4.408 eV/f.u. The value obtained for the calculated volume is 155.6 Å³/f.u.

[3]
Compound: MnReW
Source: the Alexandria database
Functional: PBE
Structure: relaxed

It has space group Imm2 (No. 44), with a = 2.734 Å, b = 3.781 Å, c = 8.297 Å, α = 90.00°, β = 90.00° and γ = 90.00°. The inequivalent atoms are Mn at (0.000, 0.000, 0.000), Re at (0.000, 0.000, 0.654) and W at (0.000, 0.000, 0.331).

As for the calculated density: 16455 kg/m³. The value obtained for the calculated volume is 42.9 Å³/f.u. For the energy of formation, the calculation gives 63 kJ/mol of formula units.

[4]
Compound: AlAsSe2Br
Source: the Alexandria database
Functional: PBE
Structure: relaxed

It has space group P4/mmm (No. 123), with a = 4.979 Å, b = 4.979 Å, c = 4.792 Å, α = 90.00°, β = 90.00° and γ = 90.00°. The inequivalent atoms are Al at (0.000, 0.000, 0.000), As at (0.500, 0.500, 0.500), Se at (0.000, 0.500, 0.000) and Br at (0.000, 0.000, 0.500).

As for the calculated density: 4749 kg/m³. Its energy relative to the elements, uncorrected is 0.904 eV/f.u. The value obtained for the calculated volume is 118.8 Å³/f.u.

Computed magnetization, in the same sequence as the records: 0.00 0.09 0.68 0.00 μB per formula unit.